A relaxed Sr28In11 crystal, computed with PBE-GGA. Values from VASP.

Results
Electronic total energy (eV/atom): -2.2733

The structure in Quantum ESPRESSO input format:
```
&SYSTEM
  ibrav = 0, nat = 39, ntyp = 2
/
ATOMIC_SPECIES
Sr 87.62 Sr.upf
In 114.82 In.upf
CELL_PARAMETERS angstrom
5.8383 0.0000 0.0000
0.0000 8.2744 0.0000
-2.9192 -4.1372 33.4958
ATOMIC_POSITIONS angstrom
Sr 2.9191 2.7411 21.6930
Sr 0.0000 6.2061 15.9130
Sr 0.0000 1.7993 15.0318
Sr 2.9191 -2.4011 24.3135
Sr 0.0000 1.7361 9.1823
Sr 2.9191 1.2889 6.4367
Sr 0.0000 0.2597 23.6759
Sr 0.0000 0.5676 19.6648
Sr 2.9191 2.0689 17.5828
Sr 2.9191 0.9939 30.5691
Sr 2.9191 5.9365 18.4640
Sr 2.9192 5.2106 5.5650
Sr 2.9191 4.7048 13.8311
Sr 2.9191 1.2358 12.1979
Sr 2.9191 -3.5226 29.5103
Sr 0.0000 5.3730 21.2979
Sr 0.0000 6.3992 7.8288
Sr 0.0000 0.6146 3.9855
Sr 2.9191 5.6653 0.0000
Sr 0.0000 0.0086 0.0000
Sr 0.0000 5.1311 2.9267
Sr 0.0000 -1.7558 31.4787
Sr 2.9191 2.3814 2.0172
Sr 0.0000 -1.3961 11.8028
Sr 2.9191 4.3969 9.8199
Sr 2.9191 2.2620 25.6670
Sr 0.0000 -2.8483 27.0592
Sr 0.0000 1.0735 27.9309
In 0.0000 3.3532 6.0843
In 0.0000 3.3800 0.0000
In 0.0000 3.7579 18.2901
In 0.0000 3.6045 24.1636
In 2.9191 -0.5327 9.3322
In 2.9191 -0.7840 27.4115
In 2.9191 -0.3793 15.2057
In 0.0000 3.5135 12.0637
In 2.9191 7.3627 2.9121
In 0.0000 3.2255 30.5838
In 2.9191 -0.6237 21.4322
```



A relaxed Sr2In crystal, computed with PBE-GGA. Values from VASP.

Results
Electronic total energy (eV/atom): -2.3017

The structure in Quantum ESPRESSO input format:
```
&SYSTEM
  ibrav = 0, nat = 6, ntyp = 2
/
ATOMIC_SPECIES
Sr 87.62 Sr.upf
In 114.82 In.upf
CELL_PARAMETERS angstrom
-2.4715 7.6888 -6.0279
-1.1686 -6.6348 7.4951
2.6439 3.8334 3.8056
ATOMIC_POSITIONS angstrom
Sr -0.3881 9.4587 -2.1302
Sr 0.5410 -0.7544 7.5120
Sr -1.5372 5.6419 -2.2392
Sr -0.6081 -4.5712 7.4031
In 0.0738 4.3809 2.6637
In -1.0701 0.5066 2.6091
```



A relaxed SrIn12 crystal, computed with PBE-GGA. Values from VASP.

Results
Electronic total energy (eV/atom): -2.5461

The structure in Quantum ESPRESSO input format:
```
&SYSTEM
  ibrav = 0, nat = 13, ntyp = 2
/
ATOMIC_SPECIES
Sr 87.62 Sr.upf
In 114.82 In.upf
CELL_PARAMETERS angstrom
-7.7903 0.5646 -3.9425
-6.2575 -5.8380 1.8202
-7.0520 2.4286 4.5741
ATOMIC_POSITIONS angstrom
Sr 0.0000 0.0000 0.0000
In -13.1989 -1.2304 -0.1147
In -7.9009 -1.6144 2.5665
In -10.0287 -3.5995 3.1854
In -8.1520 -2.2482 -0.3295
In -10.8201 1.3886 2.1623
In -10.2798 -4.2333 0.2894
In -10.2989 -0.7886 4.1218
In -8.4221 0.5627 0.6069
In -12.9479 -0.5966 2.7812
In -10.8010 -2.0562 -1.6701
In -12.6777 -3.4075 1.8448
In -11.0711 0.7547 -0.7337
```



A relaxed Sr4In crystal, computed with PBE-GGA. Values from VASP.

Results
Energy above the most stable polymorph in this dataset (meV per atom): 94
Electronic total energy (eV/atom): -1.9300

The structure in Quantum ESPRESSO input format:
```
&SYSTEM
  ibrav = 0, nat = 5, ntyp = 2
/
ATOMIC_SPECIES
Sr 87.62 Sr.upf
In 114.82 In.upf
CELL_PARAMETERS angstrom
6.4916 0.0000 0.0000
0.0000 6.4916 0.0000
0.0000 0.0000 6.4916
ATOMIC_POSITIONS angstrom
Sr 0.0000 0.0000 0.0000
Sr 3.2458 0.0000 3.2458
Sr 0.0000 3.2458 3.2458
Sr 3.2458 3.2458 0.0000
In 3.2458 3.2458 3.2458
```



A relaxed SrIn2 crystal, computed with PBE-GGA. Values from VASP.

Results
Electronic total energy (eV/atom): -2.5397

The structure in Quantum ESPRESSO input format:
```
&SYSTEM
  ibrav = 0, nat = 3, ntyp = 2
/
ATOMIC_SPECIES
In 114.82 In.upf
Sr 87.62 Sr.upf
CELL_PARAMETERS angstrom
4.3549 0.0000 0.0000
0.0000 4.3549 0.0000
0.0000 0.0000 5.6480
ATOMIC_POSITIONS angstrom
In 0.0000 2.1774 2.8240
In 2.1774 0.0000 2.8240
Sr 0.0000 0.0000 0.0000
```



A relaxed Sr2In crystal, computed with PBE-GGA. Values from VASP.

Results
Electronic total energy (eV/atom): -2.2414

The structure in Quantum ESPRESSO input format:
```
&SYSTEM
  ibrav = 0, nat = 6, ntyp = 2
/
ATOMIC_SPECIES
Sr 87.62 Sr.upf
In 114.82 In.upf
CELL_PARAMETERS angstrom
4.7167 0.0000 0.0000
0.0000 6.1863 0.0000
0.0000 0.0000 8.9173
ATOMIC_POSITIONS angstrom
Sr 0.0000 3.0920 6.9705
Sr 0.0000 3.0942 1.9467
Sr 2.3584 0.0011 2.5119
Sr 2.3584 6.1851 6.4054
In 0.0000 0.0000 0.0000
In 2.3584 3.0931 4.4586
```



A relaxed SrIn2 crystal, computed with PBE-GGA. Values from VASP.

Results
Electronic total energy (eV/atom): -2.7316

The structure in Quantum ESPRESSO input format:
```
&SYSTEM
  ibrav = 0, nat = 12, ntyp = 2
/
ATOMIC_SPECIES
Sr 87.62 Sr.upf
In 114.82 In.upf
CELL_PARAMETERS angstrom
5.1247 0.0000 0.0000
0.0000 7.0457 0.0000
0.0000 0.0000 10.2136
ATOMIC_POSITIONS angstrom
Sr 1.2812 4.6363 4.1844
Sr 3.8435 5.9323 9.2911
Sr 1.2812 1.1135 0.9224
Sr 3.8435 2.4094 6.0292
In 1.2812 0.2349 7.3631
In 3.8435 3.2880 2.2563
In 1.2812 3.7577 7.9573
In 3.8435 6.8108 2.8505
In 1.2812 1.0195 4.3046
In 3.8435 2.5033 9.4114
In 1.2812 4.5424 0.8022
In 3.8435 6.0262 5.9089
```



A relaxed SrIn4 crystal, computed with PBE-GGA. Values from VASP.

Results
Electronic total energy (eV/atom): -2.7536

The structure in Quantum ESPRESSO input format:
```
&SYSTEM
  ibrav = 0, nat = 5, ntyp = 2
/
ATOMIC_SPECIES
In 114.82 In.upf
Sr 87.62 Sr.upf
CELL_PARAMETERS angstrom
-3.5024 3.6285 3.2074
-0.2235 -5.8953 -0.9568
5.0083 0.3045 3.2471
ATOMIC_POSITIONS angstrom
In -1.7328 0.4653 2.9511
In 1.5689 0.6169 3.2188
In 3.0152 -2.4276 2.5466
In -0.2865 -2.5792 2.2789
Sr 0.0000 0.0000 0.0000
```



A relaxed SrIn2 crystal, computed with PBE-GGA. Values from VASP.

Results
Electronic total energy (eV/atom): -2.6754

The structure in Quantum ESPRESSO input format:
```
&SYSTEM
  ibrav = 0, nat = 6, ntyp = 2
/
ATOMIC_SPECIES
Sr 87.62 Sr.upf
In 114.82 In.upf
CELL_PARAMETERS angstrom
2.7998 -4.8494 0.0000
2.7998 4.8494 0.0000
0.0000 0.0000 6.7954
ATOMIC_POSITIONS angstrom
Sr 2.7998 -1.6165 1.6989
Sr 2.7998 1.6165 5.0966
In 0.0000 0.0000 0.0000
In 0.0000 0.0000 3.3977
In 2.7998 1.6165 1.6989
In 2.7998 -1.6165 5.0966
```



A relaxed Sr2In crystal, computed with PBE-GGA. Values from VASP.

Results
Electronic total energy (eV/atom): -2.2826

The structure in Quantum ESPRESSO input format:
```
&SYSTEM
  ibrav = 0, nat = 6, ntyp = 2
/
ATOMIC_SPECIES
Sr 87.62 Sr.upf
In 114.82 In.upf
CELL_PARAMETERS angstrom
2.1196 -7.5478 0.0000
2.1196 7.5478 0.0000
0.0000 0.0000 8.0691
ATOMIC_POSITIONS angstrom
Sr 2.1196 0.3640 1.7131
Sr 2.1196 -0.3640 5.7477
Sr 2.1196 4.3084 0.2703
Sr 2.1196 -4.3084 4.3048
In 2.1196 5.7769 3.4275
In 2.1196 -5.7769 7.4621
```



A relaxed SrIn4 crystal, computed with PBE-GGA. Values from VASP.

Results
Electronic total energy (eV/atom): -2.7907

The structure in Quantum ESPRESSO input format:
```
&SYSTEM
  ibrav = 0, nat = 5, ntyp = 2
/
ATOMIC_SPECIES
In 114.82 In.upf
Sr 87.62 Sr.upf
CELL_PARAMETERS angstrom
7.0894 0.0237 0.0000
3.6305 6.0893 0.0000
-5.3599 -3.0565 3.4912
ATOMIC_POSITIONS angstrom
In 3.5447 0.0119 1.7456
In 1.8152 3.0446 1.7456
In 6.5818 3.7533 0.0000
In 4.1380 2.3597 0.0000
Sr 0.0000 0.0000 0.0000
```



A relaxed Sr5In4 crystal, computed with PBE-GGA. Values from VASP.

Results
Energy above the most stable polymorph in this dataset (meV per atom): 0
Electronic total energy (eV/atom): -2.5176

The structure in Quantum ESPRESSO input format:
```
&SYSTEM
  ibrav = 0, nat = 9, ntyp = 2
/
ATOMIC_SPECIES
Sr 87.62 Sr.upf
In 114.82 In.upf
CELL_PARAMETERS angstrom
-2.5603 -2.4065 -3.8440
3.8528 -3.8399 -3.6902
-2.2519 -10.0999 4.2948
ATOMIC_POSITIONS angstrom
Sr -0.8885 -7.0622 1.4850
Sr -0.0709 -9.2841 -4.7244
Sr -1.2051 -12.7383 -1.8065
Sr 0.2457 -3.6079 -1.4329
Sr 0.0000 0.0000 0.0000
In -1.9586 -10.5814 0.8729
In 0.9992 -5.7649 -4.1124
In -0.0347 -9.5028 -1.0837
In -0.9247 -6.8434 -2.1558
```



electronic total energy of number 2 (Sr2In)?
-2.3017 eV/atom



What is the formula in the second record?
Sr2In



The highest electronic total energy belongs to which entry?
Sr4In



What is the formula in the eleventh record?
SrIn4